Record 1
The following is a DFT calculation (PBE) of an optimized crystal structure of CaCN3.

a = 4.5481 Å, b = 4.5481 Å, c = 4.5481 Å
α = 90.00°, β = 90.00°, γ = 90.00°
Last column: nearest neighbours and their distance in Å.
Fractional positions:
N1 0.0000 0.5000 0.0000  2 Ca 2.27
N2 0.0000 0.0000 0.5000  2 Ca 2.27
N3 0.5000 0.0000 0.0000  2 Ca 2.27
C1 0.5000 0.5000 0.5000  12 N 3.22
Ca1 0.0000 0.0000 0.0000  6 N 2.27

Calculated values
The space-group type is No. 221. For the formation energy (no corrections), the calculation gives 3362 meV per atom. Its crystal system is cubic.


Record 2
The following is a DFT calculation (PBE) of an optimized crystal structure of K2MnPb.

a = 7.5006 Å, b = 6.4964 Å, c = 3.7761 Å
α = 90.62°, β = 58.52°, γ = 115.18°
Last column: nearest neighbours and their distance in Å.
Fractional positions:
K1 0.5000 0.0000 0.5000  2 K 3.20
K2 0.0000 0.0000 0.0000  2 K 3.20
Mn1 0.0000 0.5000 0.5000  2 Pb 3.20
Pb1 0.5000 0.5000 0.0000  2 Mn 3.20

Calculated values
The space-group type is No. 12. Its crystal system is monoclinic.


DFT total energy per entry: -3.879, -3.262 eV per atom